[1]
Material: Ti4In3Ga
Method: DFT, PBE
State: optimized geometry

Structure (POSCAR):
```
Ti4In3Ga
1.0
2.952 0.000 0.000
0.000 2.952 0.000
0.000 0.000 16.824
Ti In Ga
4 3 1
Cartesian
0.000 0.000 1.835 Ti
0.000 0.000 6.261 Ti
0.000 0.000 10.563 Ti
0.000 0.000 14.989 Ti
1.476 1.476 4.063 In
1.476 1.476 8.412 In
1.476 1.476 12.761 In
1.476 1.476 0.000 Ga
```

Results
**VASP energy**: -5.5818 eV/atom
**Space group**: No. 123
**Energy relative to the elements**: -5.28 kcal/mol of atoms
**Fermi-level density of states**: 7.2 states/eV/f.u.

[2]
Material: Ti8InGa2
Method: DFT, PBE
State: optimized geometry

Structure (POSCAR):
```
Ti8InGa2
1.0
3.646 -6.293 0.000
3.646 6.293 0.000
-2.261 0.000 4.223
Ti In Ga
8 1 2
Cartesian
0.030 1.450 2.779 Ti
3.646 3.496 0.000 Ti
0.030 -1.450 2.779 Ti
2.613 0.000 0.901 Ti
2.418 0.000 3.322 Ti
5.002 1.450 1.444 Ti
3.646 -3.496 0.000 Ti
5.002 -1.450 1.444 Ti
0.000 0.000 0.000 In
2.516 2.436 2.111 Ga
2.516 -2.436 2.111 Ga
```

Results
**VASP energy**: -6.6347 eV/atom
**Space group**: No. 12
**Energy relative to the elements**: -2.16 kcal/mol of atoms
**Fermi-level density of states**: 12.4 states/eV/f.u.

[3]
Material: TiIn3Ga
Method: DFT, PBE
State: optimized geometry

Structure (POSCAR):
```
TiIn3Ga
1.0
5.385 0.000 0.000
0.000 5.385 0.000
0.000 0.000 5.385
Ti In Ga
1 3 1
Cartesian
0.000 0.000 0.000 Ti
0.000 0.000 2.692 In
0.000 2.692 0.000 In
2.692 0.000 0.000 In
2.692 2.692 2.692 Ga
```

Results
**VASP energy**: -3.3390 eV/atom
**Space group**: No. 221
**Energy relative to the elements**: 11.26 kcal/mol of atoms
**Energy above the most stable polymorph in this dataset**: 0 meV/atom
**Fermi-level density of states**: 3.1 states/eV/f.u.

[4]
Material: Ti4InGa3
Method: DFT, PBE
State: optimized geometry

Structure (POSCAR):
```
Ti4InGa3
1.0
8.062 0.000 0.000
0.000 5.829 0.000
0.000 0.000 5.786
Ti In Ga
8 2 6
Cartesian
0.000 0.000 0.000 Ti
0.000 2.915 0.000 Ti
2.016 1.352 1.446 Ti
2.016 4.477 4.339 Ti
4.031 0.000 2.893 Ti
4.031 2.915 2.893 Ti
6.047 1.352 1.446 Ti
6.047 4.477 4.339 Ti
0.000 2.915 2.893 In
4.031 2.915 0.000 In
0.000 0.000 2.893 Ga
2.016 1.447 4.339 Ga
2.016 4.383 1.446 Ga
4.031 0.000 0.000 Ga
6.047 1.447 4.339 Ga
6.047 4.383 1.446 Ga
```

Results
**VASP energy**: -5.6733 eV/atom
**Space group**: No. 53
**Energy relative to the elements**: -5.73 kcal/mol of atoms
**Fermi-level density of states**: 8.8 states/eV/f.u.

[5]
Material: Ti5InGa3
Method: DFT, PBE
State: optimized geometry

Structure (POSCAR):
```
Ti5InGa3
1.0
7.966 0.000 0.000
-3.983 6.898 0.000
0.000 0.000 5.514
Ti In Ga
10 2 6
Cartesian
-1.266 2.194 1.379 Ti
-2.716 4.705 4.136 Ti
2.533 0.000 1.379 Ti
1.266 2.194 4.136 Ti
0.000 4.599 0.000 Ti
0.000 4.599 2.757 Ti
3.983 2.299 0.000 Ti
3.983 2.299 2.757 Ti
5.433 0.000 4.136 Ti
2.716 4.705 1.379 Ti
0.000 0.000 0.000 In
0.000 0.000 2.757 In
-1.436 2.487 4.136 Ga
-2.547 4.411 1.379 Ga
2.872 0.000 4.136 Ga
1.436 2.487 1.379 Ga
5.094 0.000 1.379 Ga
2.547 4.411 4.136 Ga
```

Results
**VASP energy**: -6.0260 eV/atom
**Space group**: No. 193
**Energy relative to the elements**: -7.53 kcal/mol of atoms
**Fermi-level density of states**: 8.9 states/eV/f.u.

[6]
Material: Ti2In2Ga
Method: DFT, PBE
State: optimized geometry

Structure (POSCAR):
```
Ti2In2Ga
1.0
6.773 0.000 0.000
0.000 6.773 0.000
0.000 0.000 4.400
Ti In Ga
4 4 2
Cartesian
0.989 2.398 0.000 Ti
2.398 5.784 0.000 Ti
4.376 0.989 0.000 Ti
5.784 4.376 0.000 Ti
1.086 4.473 2.200 In
2.301 1.086 2.200 In
4.473 5.687 2.200 In
5.687 2.301 2.200 In
0.000 0.000 0.000 Ga
3.387 3.387 0.000 Ga
```

Results
**VASP energy**: -4.9641 eV/atom
**Space group**: No. 127
**Energy relative to the elements**: -2.43 kcal/mol of atoms
**Energy above the most stable polymorph in this dataset**: 0 meV/atom
**Fermi-level density of states**: 1.8 states/eV/f.u.

[7]
Material: Ti12In5Ga2
Method: DFT, PBE
State: optimized geometry

Structure (POSCAR):
```
Ti12In5Ga2
1.0
6.293 -3.953 0.000
6.293 3.953 0.000
-0.182 0.000 7.148
Ti In Ga
12 5 2
Cartesian
0.634 0.000 2.273 Ti
4.837 2.480 2.612 Ti
4.344 1.425 5.457 Ti
7.567 2.480 4.535 Ti
5.309 0.000 0.866 Ti
8.060 1.425 1.690 Ti
4.344 -1.425 5.457 Ti
7.095 0.000 6.282 Ti
4.837 -2.480 2.612 Ti
8.060 -1.425 1.690 Ti
7.567 -2.480 4.535 Ti
11.770 0.000 4.875 Ti
2.265 0.000 7.026 In
3.270 0.000 2.981 In
6.202 0.000 3.574 In
9.134 0.000 4.167 In
10.139 0.000 0.122 In
6.293 2.398 0.000 Ga
6.293 -2.398 0.000 Ga
```

Results
**VASP energy**: -6.0824 eV/atom
**Space group**: No. 12
**Energy relative to the elements**: -1.31 kcal/mol of atoms
**Fermi-level density of states**: 20.1 states/eV/f.u.

[8]
Material: Ti12In3Ga
Method: DFT, PBE
State: optimized geometry

Structure (POSCAR):
```
Ti12In3Ga
1.0
4.131 0.000 0.000
0.000 4.131 0.000
0.000 0.000 16.481
Ti In Ga
12 3 1
Cartesian
0.000 0.000 0.000 Ti
0.000 0.000 4.047 Ti
0.000 0.000 8.241 Ti
0.000 0.000 12.434 Ti
0.000 2.066 1.938 Ti
0.000 2.066 6.144 Ti
0.000 2.066 10.337 Ti
0.000 2.066 14.543 Ti
2.066 0.000 1.938 Ti
2.066 0.000 6.144 Ti
2.066 0.000 10.337 Ti
2.066 0.000 14.543 Ti
2.066 2.066 4.048 In
2.066 2.066 8.241 In
2.066 2.066 12.433 In
2.066 2.066 0.000 Ga
```

Results
**VASP energy**: -6.7870 eV/atom
**Space group**: No. 123
**Energy relative to the elements**: -3.76 kcal/mol of atoms
**Fermi-level density of states**: 18.4 states/eV/f.u.